[1]
# PBE As2CSeS, optimized geometry
# total moment	0.0	μB per formula unit
# formation energy from raw total energies	6.2	eV per formula unit
# calculated density	5.3	g cm⁻³
# volume	17.17	A^3/atom
# Fermi-level density of states	0.693	states/eV/atom
# ΔE to the lowest computed polymorph	0	meV per atom
# space-group type	P4/mmm, No. 123
data_As2CSeS
_space_group_name_H-M_alt 'P 1'
_space_group_IT_number 1
_cell_length_a 4.543
_cell_length_b 4.543
_cell_length_c 4.160
_cell_angle_alpha 90.00
_cell_angle_beta 90.00
_cell_angle_gamma 90.00
loop_
_space_group_symop_operation_xyz
'x,y,z'
loop_
_atom_site_label
_atom_site_type_symbol
_atom_site_fract_x
_atom_site_fract_y
_atom_site_fract_z
_atom_site_occupancy
C1 C 0.000 0.000 0.000 1
As1 As 0.000 0.500 0.000 1
As2 As 0.500 0.000 0.000 1
Se1 Se 0.000 0.000 0.500 1
S1 S 0.500 0.500 0.500 1

=====

[2]
# PBE PrTlAg2, optimized geometry
# total moment	0.0	μB per formula unit
# calculated density	9.9	g cm⁻³
# DFT formation energy	-0.243	eV per atom
# volume	23.63	A^3/atom
# Fermi-level density of states	0.535	states/eV/atom
# ΔE to the lowest computed polymorph	7	meV per atom
# space-group type	Fm-3m, No. 225
data_PrTlAg2
_space_group_name_H-M_alt 'P 1'
_space_group_IT_number 1
_cell_length_a 5.113
_cell_length_b 5.113
_cell_length_c 5.113
_cell_angle_alpha 60.00
_cell_angle_beta 60.00
_cell_angle_gamma 60.00
loop_
_space_group_symop_operation_xyz
'x,y,z'
loop_
_atom_site_label
_atom_site_type_symbol
_atom_site_fract_x
_atom_site_fract_y
_atom_site_fract_z
_atom_site_occupancy
Pr1 Pr 0.500 0.500 0.500 1
Ag1 Ag 0.250 0.250 0.250 1
Ag2 Ag 0.750 0.750 0.750 1
Tl1 Tl 0.000 0.000 0.000 1

=====

[3]
# PBE Ba2NaHAu, optimized geometry
# total moment	0.0	μB per formula unit
# calculated density	5.7	g cm⁻³
# volume	28.97	A^3/atom
# Fermi-level density of states	0.955	states/eV/atom
# ΔE to the lowest computed polymorph	0	meV per atom
# space-group type	P4/mmm, No. 123
data_Ba2NaHAu
_space_group_name_H-M_alt 'P 1'
_space_group_IT_number 1
_cell_length_a 5.603
_cell_length_b 5.603
_cell_length_c 4.614
_cell_angle_alpha 90.00
_cell_angle_beta 90.00
_cell_angle_gamma 90.00
loop_
_space_group_symop_operation_xyz
'x,y,z'
loop_
_atom_site_label
_atom_site_type_symbol
_atom_site_fract_x
_atom_site_fract_y
_atom_site_fract_z
_atom_site_occupancy
Ba1 Ba 0.000 0.500 0.000 1
Ba2 Ba 0.500 0.000 0.000 1
H1 H 0.000 0.000 0.000 1
Au1 Au 0.500 0.500 0.500 1
Na1 Na 0.000 0.000 0.500 1

=====

[4]
# PBE Tb2NdGa, optimized geometry
# total moment	0.0	μB per formula unit
# calculated density	7.2	g cm⁻³
# DFT formation energy	-0.032	eV per atom
# volume	30.52	A^3/atom
# Fermi-level density of states	1.357	states/eV/atom
# ΔE to the lowest computed polymorph	250	meV per atom
# space-group type	R-3m, No. 166
data_Tb2NdGa
_space_group_name_H-M_alt 'P 1'
_space_group_IT_number 1
_cell_length_a 3.523
_cell_length_b 3.523
_cell_length_c 11.534
_cell_angle_alpha 81.21
_cell_angle_beta 81.21
_cell_angle_gamma 60.00
loop_
_space_group_symop_operation_xyz
'x,y,z'
loop_
_atom_site_label
_atom_site_type_symbol
_atom_site_fract_x
_atom_site_fract_y
_atom_site_fract_z
_atom_site_occupancy
Tb1 Tb 0.103 0.103 0.691 1
Tb2 Tb 0.897 0.897 0.309 1
Ga1 Ga 0.500 0.500 0.500 1
Nd1 Nd 0.000 0.000 0.000 1

=====

[5]
# PBE CeNdHg, optimized geometry
# total moment	0.9	μB per formula unit
# calculated density	9.5	g cm⁻³
# DFT formation energy	-0.110	eV per atom
# volume	28.15	A^3/atom
# Fermi-level density of states	2.061	states/eV/atom
# ΔE to the lowest computed polymorph	79	meV per atom
# space-group type	P3m1, No. 156
data_CeNdHg
_space_group_name_H-M_alt 'P 1'
_space_group_IT_number 1
_cell_length_a 3.619
_cell_length_b 5.191
_cell_length_c 5.191
_cell_angle_alpha 120.00
_cell_angle_beta 90.00
_cell_angle_gamma 90.00
loop_
_space_group_symop_operation_xyz
'x,y,z'
loop_
_atom_site_label
_atom_site_type_symbol
_atom_site_fract_x
_atom_site_fract_y
_atom_site_fract_z
_atom_site_occupancy
Nd1 Nd 0.651 0.667 0.333 1
Hg1 Hg 0.336 0.333 0.667 1
Ce1 Ce 0.012 0.000 0.000 1

=====

[6]
# PBE Pm5Ge2S2, optimized geometry
# total moment	0.0	μB per formula unit
# formation energy from raw total energies	-11.2	eV per formula unit
# calculated density	7.0	g cm⁻³
# volume	24.46	A^3/atom
# Fermi-level density of states	0.581	states/eV/atom
# space-group type	Cmce, No. 64
data_Pm5Ge2S2
_space_group_name_H-M_alt 'P 1'
_space_group_IT_number 1
_cell_length_a 7.824
_cell_length_b 7.701
_cell_length_c 8.260
_cell_angle_alpha 117.78
_cell_angle_beta 90.00
_cell_angle_gamma 90.00
loop_
_space_group_symop_operation_xyz
'x,y,z'
loop_
_atom_site_label
_atom_site_type_symbol
_atom_site_fract_x
_atom_site_fract_y
_atom_site_fract_z
_atom_site_occupancy
Pm1 Pm 0.661 0.030 0.717 1
Pm2 Pm 0.161 0.187 0.717 1
Pm3 Pm 0.339 0.687 0.717 1
Pm4 Pm 0.161 0.470 0.283 1
Pm5 Pm 0.839 0.530 0.717 1
Pm6 Pm 0.000 0.000 0.000 1
Pm7 Pm 0.661 0.313 0.283 1
Pm8 Pm 0.339 0.970 0.283 1
Pm9 Pm 0.500 0.500 0.000 1
Pm10 Pm 0.839 0.813 0.283 1
S1 S 0.000 0.804 0.608 1
S2 S 0.500 0.304 0.608 1
S3 S 0.000 0.196 0.392 1
S4 S 0.500 0.696 0.392 1
Ge1 Ge 0.128 0.627 0.000 1
Ge2 Ge 0.372 0.127 0.000 1
Ge3 Ge 0.628 0.873 0.000 1
Ge4 Ge 0.872 0.373 0.000 1

=====

[7]
# PBE Ag3C, optimized geometry
# total moment	0.0	μB per formula unit
# calculated density	8.9	g cm⁻³
# DFT formation energy	1.366	eV per atom
# volume	15.71	A^3/atom
# Fermi-level density of states	0.472	states/eV/atom
# ΔE to the lowest computed polymorph	810	meV per atom
# space-group type	I4/mmm, No. 139
data_Ag3C
_space_group_name_H-M_alt 'P 1'
_space_group_IT_number 1
_cell_length_a 4.891
_cell_length_b 4.891
_cell_length_c 4.891
_cell_angle_alpha 132.25
_cell_angle_beta 132.25
_cell_angle_gamma 69.83
loop_
_space_group_symop_operation_xyz
'x,y,z'
loop_
_atom_site_label
_atom_site_type_symbol
_atom_site_fract_x
_atom_site_fract_y
_atom_site_fract_z
_atom_site_occupancy
C1 C 0.000 0.000 0.000 1
Ag1 Ag 0.250 0.750 0.500 1
Ag2 Ag 0.500 0.500 0.000 1
Ag3 Ag 0.750 0.250 0.500 1

=====

[8]
# PBE CeIn3Sn, optimized geometry
# total moment	1.1	μB per formula unit
# calculated density	5.6	g cm⁻³
# DFT formation energy	0.127	eV per atom
# volume	35.86	A^3/atom
# Fermi-level density of states	1.828	states/eV/atom
# space-group type	P-1, No. 2
data_CeIn3Sn
_space_group_name_H-M_alt 'P 1'
_space_group_IT_number 1
_cell_length_a 6.466
_cell_length_b 6.486
_cell_length_c 6.897
_cell_angle_alpha 122.06
_cell_angle_beta 89.95
_cell_angle_gamma 125.34
loop_
_space_group_symop_operation_xyz
'x,y,z'
loop_
_atom_site_label
_atom_site_type_symbol
_atom_site_fract_x
_atom_site_fract_y
_atom_site_fract_z
_atom_site_occupancy
Sn1 Sn 0.500 0.000 0.000 1
Ce1 Ce 0.000 0.000 0.000 1
In1 In 0.000 0.500 0.500 1
In2 In 0.000 0.000 0.500 1
In3 In 0.000 0.500 0.000 1

=====

[9]
# PBE TbHo8Sc4, optimized geometry
# total moment	0.0	μB per formula unit
# calculated density	7.2	g cm⁻³
# DFT formation energy	0.258	eV per atom
# volume	29.40	A^3/atom
# Fermi-level density of states	1.287	states/eV/atom
# space-group type	R-3m, No. 166
data_TbHo8Sc4
_space_group_name_H-M_alt 'P 1'
_space_group_IT_number 1
_cell_length_a 7.032
_cell_length_b 7.032
_cell_length_c 9.805
_cell_angle_alpha 90.00
_cell_angle_beta 111.01
_cell_angle_gamma 120.00
loop_
_space_group_symop_operation_xyz
'x,y,z'
loop_
_atom_site_label
_atom_site_type_symbol
_atom_site_fract_x
_atom_site_fract_y
_atom_site_fract_z
_atom_site_occupancy
Sc1 Sc 0.000 0.000 0.000 1
Sc2 Sc 0.500 0.000 0.000 1
Sc3 Sc 0.500 0.500 0.000 1
Sc4 Sc 0.000 0.500 0.000 1
Ho1 Ho 0.568 0.784 0.352 1
Ho2 Ho 0.041 0.794 0.289 1
Ho3 Ho 0.505 0.752 0.711 1
Ho4 Ho 0.495 0.248 0.289 1
Ho5 Ho 0.959 0.752 0.711 1
Ho6 Ho 0.432 0.216 0.648 1
Ho7 Ho 0.041 0.248 0.289 1
Ho8 Ho 0.959 0.206 0.711 1
Tb1 Tb 0.000 0.500 0.500 1

=====

[10]
# PBE CdIrAu2, optimized geometry
# total moment	0.0	μB per formula unit
# calculated density	16.5	g cm⁻³
# DFT formation energy	0.230	eV per atom
# volume	17.58	A^3/atom
# Fermi-level density of states	0.349	states/eV/atom
# space-group type	F-43m, No. 216
data_CdIrAu2
_space_group_name_H-M_alt 'P 1'
_space_group_IT_number 1
_cell_length_a 4.633
_cell_length_b 4.633
_cell_length_c 4.633
_cell_angle_alpha 60.00
_cell_angle_beta 60.00
_cell_angle_gamma 60.00
loop_
_space_group_symop_operation_xyz
'x,y,z'
loop_
_atom_site_label
_atom_site_type_symbol
_atom_site_fract_x
_atom_site_fract_y
_atom_site_fract_z
_atom_site_occupancy
Au1 Au 0.000 0.000 0.000 1
Au2 Au 0.250 0.250 0.250 1
Ir1 Ir 0.750 0.750 0.750 1
Cd1 Cd 0.500 0.500 0.500 1

=====

[11]
# PBE Pm4C2I, optimized geometry
# total moment	0.0	μB per formula unit
# formation energy from raw total energies	-1.8	eV per formula unit
# calculated density	6.7	g cm⁻³
# volume	26.04	A^3/atom
# Fermi-level density of states	0.667	states/eV/atom
# ΔE to the lowest computed polymorph	195	meV per atom
# space-group type	P1, No. 1
data_Pm4C2I
_space_group_name_H-M_alt 'P 1'
_space_group_IT_number 1
_cell_length_a 7.216
_cell_length_b 7.210
_cell_length_c 9.012
_cell_angle_alpha 124.63
_cell_angle_beta 108.52
_cell_angle_gamma 83.51
loop_
_space_group_symop_operation_xyz
'x,y,z'
loop_
_atom_site_label
_atom_site_type_symbol
_atom_site_fract_x
_atom_site_fract_y
_atom_site_fract_z
_atom_site_occupancy
Pm1 Pm 0.430 0.722 0.905 1
Pm2 Pm 0.824 0.129 0.238 1
Pm3 Pm 0.387 0.164 0.774 1
Pm4 Pm 0.821 0.038 0.593 1
Pm5 Pm 0.446 0.230 0.406 1
Pm6 Pm 0.388 0.615 0.227 1
Pm7 Pm 0.815 0.523 0.094 1
Pm8 Pm 0.893 0.584 0.761 1
C1 C 0.623 0.369 0.751 1
C2 C 0.193 0.493 0.902 1
C3 C 0.589 0.290 0.100 1
C4 C 0.619 0.872 0.249 1
I1 I 0.095 0.094 0.999 1
I2 I 0.127 0.627 0.500 1

=====

[12]
# PBE Tb4PmY10, optimized geometry
# total moment	0.0	μB per formula unit
# calculated density	5.3	g cm⁻³
# DFT formation energy	0.480	eV per atom
# volume	35.02	A^3/atom
# Fermi-level density of states	2.007	states/eV/atom
# space-group type	I4/m, No. 87
data_Tb4PmY10
_space_group_name_H-M_alt 'P 1'
_space_group_IT_number 1
_cell_length_a 10.742
_cell_length_b 8.818
_cell_length_c 8.818
_cell_angle_alpha 68.22
_cell_angle_beta 52.47
_cell_angle_gamma 52.47
loop_
_space_group_symop_operation_xyz
'x,y,z'
loop_
_atom_site_label
_atom_site_type_symbol
_atom_site_fract_x
_atom_site_fract_y
_atom_site_fract_z
_atom_site_occupancy
Tb1 Tb 0.220 0.227 0.332 1
Tb2 Tb 0.780 0.773 0.668 1
Tb3 Tb 0.552 0.668 0.227 1
Tb4 Tb 0.448 0.332 0.773 1
Y1 Y 0.250 0.500 0.500 1
Y2 Y 0.955 0.659 0.094 1
Y3 Y 0.049 0.906 0.659 1
Y4 Y 0.951 0.094 0.341 1
Y5 Y 0.707 0.341 0.906 1
Y6 Y 0.293 0.659 0.094 1
Y7 Y 0.045 0.341 0.906 1
Y8 Y 0.613 0.094 0.341 1
Y9 Y 0.387 0.906 0.659 1
Y10 Y 0.750 0.500 0.500 1
Pm1 Pm 0.000 0.000 0.000 1